# 1
## MnHg2Mo (PBEsol)

Data for a relaxed structure of MnHg2Mo.

Structure (POSCAR):
```
MnHg2Mo
1.0
-1.654 1.162 -2.024
-2.333 -0.899 1.391
-0.206 7.109 4.249
Mn Hg Mo
1 2 1
direct
0.500 0.500 0.000 Mn
0.000 0.000 0.759 Hg
0.000 0.000 0.241 Hg
0.500 0.500 0.500 Mo
```

Summary:
- polymorph energy (0 for the lowest one) (meV per atom) = 0
- VASP energy (eV/atom) = -5.181
- magnetic moment (μB/atom) = 0.88
- space group = P4/mmm, No. 123

# 2
## SrMn2HgMo (PBEsol)

Data for a relaxed structure of SrMn2HgMo.

Structure (POSCAR):
```
SrMn2HgMo
1.0
4.990 0.000 0.000
0.000 4.990 0.000
0.000 0.000 5.224
Sr Hg Mo Mn
1 1 1 2
direct
0.500 0.500 0.500 Sr
0.000 0.000 0.000 Hg
0.000 0.000 0.500 Mo
0.000 0.500 0.000 Mn
0.500 0.000 0.000 Mn
```

Summary:
- VASP energy (eV/atom) = -5.324
- magnetic moment (μB/atom) = 2.17
- space group = P4/mmm, No. 123

# 3
## MnHgNO2 (PBEsol)

Data for a relaxed structure of MnHgNO2.

Structure (POSCAR):
```
MnHgNO2
1.0
-0.148 3.854 -1.271
-3.642 0.324 1.405
1.435 1.191 3.445
O Mn N Hg
2 1 1 1
direct
0.000 0.000 0.500 O
0.000 0.500 0.000 O
0.500 0.500 0.500 Mn
0.000 0.000 0.000 N
0.500 0.000 0.000 Hg
```

Summary:
- VASP energy (eV/atom) = -4.706
- magnetic moment (μB/atom) = 0.97
- E_form (uncorrected) (eV per formula unit) = 5.82
- space group = P4/mmm, No. 123

# 4
## MnHgSN2 (PBEsol)

Data for a relaxed structure of MnHgSN2.

Structure (POSCAR):
```
MnHgSN2
1.0
4.057 0.000 0.000
0.000 4.057 0.000
0.000 0.000 5.664
S N Mn Hg
1 2 1 1
direct
0.000 0.000 0.500 S
0.000 0.500 0.000 N
0.500 0.000 0.000 N
0.500 0.500 0.500 Mn
0.000 0.000 0.000 Hg
```

Summary:
- VASP energy (eV/atom) = -4.445
- magnetic moment (μB/atom) = 1.57
- E_form (uncorrected) (eV per formula unit) = 9.54
- space group = P4/mmm, No. 123

# 5
## NaMn3Hg (PBEsol)

Data for a relaxed structure of NaMn3Hg.

Structure (POSCAR):
```
NaMn3Hg
1.0
4.621 0.000 0.000
0.000 4.621 0.000
0.000 0.000 4.621
Mn Hg Na
3 1 1
direct
0.000 0.000 0.500 Mn
0.000 0.500 0.000 Mn
0.500 0.000 0.000 Mn
0.500 0.500 0.500 Hg
0.000 0.000 0.000 Na
```

Summary:
- VASP energy (eV/atom) = -4.441
- magnetic moment (μB/atom) = 2.31
- space group = Pm-3m, No. 221

# 6
## NaMn2Hg2 (PBEsol)

Data for a relaxed structure of NaMn2Hg2.

Structure (POSCAR):
```
NaMn2Hg2
1.0
3.085 0.000 0.000
0.000 3.085 0.000
-1.543 -1.543 9.521
Mn Hg Na
2 2 1
direct
0.250 0.750 0.500 Mn
0.750 0.250 0.500 Mn
0.624 0.624 0.248 Hg
0.376 0.376 0.752 Hg
0.000 0.000 0.000 Na
```

Summary:
- VASP energy (eV/atom) = -4.023
- magnetic moment (μB/atom) = 0.00
- space group = I4/mmm, No. 139

# 7
## Na3MnHg (PBEsol)

Data for a relaxed structure of Na3MnHg.

Structure (POSCAR):
```
Na3MnHg
1.0
-3.502 2.157 3.752
-4.296 -2.320 -2.676
0.527 -4.579 3.123
Mn Na Hg
1 3 1
direct
0.500 0.500 0.500 Mn
0.500 0.000 0.000 Na
0.000 0.500 0.000 Na
0.000 0.000 0.500 Na
0.000 0.000 0.000 Hg
```

Summary:
- VASP energy (eV/atom) = -2.213
- magnetic moment (μB/atom) = 0.95
- space group = Pm-3m, No. 221

# 8
## MnNb3Hg (PBEsol)

Data for a relaxed structure of MnNb3Hg.

Structure (POSCAR):
```
MnNb3Hg
1.0
4.993 0.000 0.000
0.000 4.993 0.000
0.000 0.000 4.993
Nb Mn Hg
3 1 1
direct
0.500 0.000 0.000 Nb
0.000 0.500 0.000 Nb
0.000 0.000 0.500 Nb
0.500 0.500 0.500 Mn
0.000 0.000 0.000 Hg
```

Summary:
- VASP energy (eV/atom) = -6.347
- magnetic moment (μB/atom) = 0.78
- space group = Pm-3m, No. 221